Entry from the Alexandria database: a relaxed HoMg8Ni4 crystal (PBE).

Structure (POSCAR):
```
HoMg8Ni4
1.0
1.6278 -3.3924 3.8545
2.8890 -5.8772 -2.6289
6.6752 1.1656 1.9707
Ho Mg Ni
1 8 4
Direct
0.0000 0.0000 0.0000 Ho
0.0000 0.3356 0.6644 Mg
0.0000 0.6644 0.3356 Mg
0.3356 0.6644 0.6644 Mg
0.6644 0.3356 0.3356 Mg
0.5000 0.7801 0.2199 Mg
0.5000 0.2199 0.7801 Mg
0.2801 0.2199 0.2199 Mg
0.7199 0.7801 0.7801 Mg
0.0000 0.0000 0.5000 Ni
0.5000 0.0000 0.5000 Ni
0.0000 0.5000 0.0000 Ni
0.5000 0.5000 0.0000 Ni
```

Results
D(E_F), states/eV/cell: 6.55
Energy of formation from the pure elements, eV/atom: -0.136
Calculated volume, Å³ per atom: 17.63
Space-group type: I4/mmm